[1]
## Pm5SeS4 (GGA-PBE)

Data for crystalline Pm5SeS4 at its relaxed geometry.

Lattice parameters (Å, degrees): 13.520 4.061 9.965 90.00 119.69 90.00
Space group C2/m (No. 12)
Symmetry-distinct sites (fractional):
Pm1 0.000 0.000 0.000 x2
Pm2 0.107 0.500 0.395 x4
Pm3 0.205 0.000 0.808 x4
Se1 0.000 0.000 0.500 x2
S1 0.097 0.500 0.897 x4
S2 0.202 0.000 0.297 x4

E_form (uncorrected)   -192.3 kJ/mol of atoms
Density   6514 kg/m³
Fermi-level density of states   8.534 states/eV/cell

---

[2]
## Pm4SeS3 (GGA-PBE)

Data for crystalline Pm4SeS3 at its relaxed geometry.

Lattice parameters (Å, degrees): 5.767 5.767 5.767 90.00 90.00 90.00
Space group Pm-3m (No. 221)
Symmetry-distinct sites (fractional):
Pm1 0.000 0.000 0.000 x1
Pm2 0.000 0.500 0.500 x3
Se1 0.500 0.500 0.500 x1
S1 0.000 0.000 0.500 x3

E_form (uncorrected)   -188.9 kJ/mol of atoms
Density   6538 kg/m³
Fermi-level density of states   4.648 states/eV/cell

---

[3]
## Pm3Se5S12 (GGA-PBE)

Data for crystalline Pm3Se5S12 at its relaxed geometry.

Lattice parameters (Å, degrees): 15.795 15.795 15.795 90.00 90.00 90.00
Space group Ia-3d (No. 230)
Symmetry-distinct sites (fractional):
Pm1 0.000 0.250 0.125 x24
Se1 0.000 0.000 0.000 x16
Se2 0.000 0.250 0.375 x24
S1 0.017 0.060 0.650 x96

E_form (uncorrected)   -38.1 kJ/mol of atoms
Density   4094 kg/m³
Fermi-level density of states   61.269 states/eV/cell

---

[4]
## Pm2Se2S (GGA-PBE)

Data for crystalline Pm2Se2S at its relaxed geometry.

Lattice parameters (Å, degrees): 10.771 10.961 5.472 90.00 120.48 90.00
Space group C2/c (No. 15)
Symmetry-distinct sites (fractional):
Pm1 0.000 0.112 0.250 x4
Pm2 0.000 0.357 0.750 x4
Se1 0.172 0.117 0.924 x8
S1 0.000 0.370 0.250 x4

E_form (uncorrected)   -170.5 kJ/mol of atoms
Density   5726 kg/m³
Fermi-level density of states   2.601 states/eV/cell

---

[5]
## Pm4SeS3 (GGA-PBE)

Data for crystalline Pm4SeS3 at its relaxed geometry.

Lattice parameters (Å, degrees): 8.217 11.543 4.043 90.00 90.00 90.00
Space group Cmmm (No. 65)
Symmetry-distinct sites (fractional):
Pm1 0.000 0.242 0.000 x4
Pm2 0.233 0.000 0.500 x4
Se1 0.000 0.500 0.000 x2
S1 0.000 0.000 0.000 x2
S2 0.250 0.250 0.500 x4

E_form (uncorrected)   -191.4 kJ/mol of atoms
Density   6540 kg/m³
Fermi-level density of states   7.298 states/eV/cell

---

[6]
## Pm2SeS2 (GGA-PBE)

Data for crystalline Pm2SeS2 at its relaxed geometry.

Lattice parameters (Å, degrees): 4.184 5.506 13.286 90.00 90.00 90.00
Space group Immm (No. 71)
Symmetry-distinct sites (fractional):
Pm1 0.000 0.000 0.159 x4
Se1 0.000 0.500 0.500 x2
S1 0.000 0.500 0.201 x4

E_form (uncorrected)   -192.7 kJ/mol of atoms
Density   4699 kg/m³
Fermi-level density of states   0.000 states/eV/cell

---

[7]
## Pm8Si3SeS4 (GGA-PBE)

Data for crystalline Pm8Si3SeS4 at its relaxed geometry.

Lattice parameters (Å, degrees): 8.3041 8.3041 20.2690 90.00 90.00 120.00
Space group R-3m (No. 166, hexagonal axes)
Symmetry-distinct sites (fractional):
Pm1 0.0000 0.0000 0.2500 x6
Pm2 0.0063 0.5032 0.2501 x18
Si1 0.0000 0.5000 0.0000 x9
Se1 0.0000 0.0000 0.0000 x3
S1 0.0000 0.0000 0.5000 x3
S2 0.0000 0.5000 0.5000 x9

E_form (uncorrected)   -149.5 kJ/mol of atoms
Density   5973 kg/m³
Fermi-level density of states   8.310 states/eV/cell

---

[8]
## Pm6Si2SeS3 (GGA-PBE)

Data for crystalline Pm6Si2SeS3 at its relaxed geometry.

Lattice parameters (Å, degrees): 18.032 4.145 8.299 90.00 102.82 90.00
Space group C2/m (No. 12)
Symmetry-distinct sites (fractional):
Pm1 0.003 0.000 0.261 x4
Pm2 0.167 0.500 0.584 x4
Pm3 0.170 0.500 0.090 x4
Si1 0.166 0.000 0.333 x4
Se1 0.000 0.500 0.000 x2
S1 0.000 0.500 0.500 x2
S2 0.165 0.000 0.836 x4

E_form (uncorrected)   -153.7 kJ/mol of atoms
Density   6047 kg/m³
Fermi-level density of states   8.510 states/eV/cell

---

[9]
## Pm8SiSe3S4 (GGA-PBE)

Data for crystalline Pm8SiSe3S4 at its relaxed geometry.

Lattice parameters (Å, degrees): 8.2601 8.2601 20.1912 90.00 90.00 120.00
Space group R-3m (No. 166, hexagonal axes)
Symmetry-distinct sites (fractional):
Pm1 0.0000 0.0000 0.2427 x6
Pm2 0.0111 0.5055 0.7531 x18
Si1 0.0000 0.0000 0.0000 x3
Se1 0.0000 0.5000 0.0000 x9
S1 0.0000 0.0000 0.5000 x3
S2 0.0000 0.5000 0.5000 x9

E_form (uncorrected)   -176.1 kJ/mol of atoms
Density   6486 kg/m³
Fermi-level density of states   18.305 states/eV/cell

---

[10]
## Pm4SiSe2S (GGA-PBE)

Data for crystalline Pm4SiSe2S at its relaxed geometry.

Lattice parameters (Å, degrees): 7.187 4.164 7.316 90.00 109.32 90.00
Space group P2/m (No. 10)
Symmetry-distinct sites (fractional):
Pm1 0.244 0.000 0.236 x2
Pm2 0.253 0.500 0.767 x2
Si1 0.000 0.500 0.000 x1
Se1 0.000 0.000 0.500 x1
Se2 0.500 0.500 0.500 x1
S1 0.500 0.000 0.000 x1

E_form (uncorrected)   -160.7 kJ/mol of atoms
Density   6413 kg/m³
Fermi-level density of states   3.094 states/eV/cell

---

Number 1: magnetic moment 0.00 Bohr magnetons per cell. Number 2: magnetic moment 0.00 Bohr magnetons per cell. Number 3: magnetic moment 0.00 Bohr magnetons per cell. Number 4: magnetic moment 0.00 Bohr magnetons per cell. Number 5: magnetic moment 0.00 Bohr magnetons per cell. Number 6: magnetic moment 0.00 Bohr magnetons per cell. Number 7: magnetic moment 0.00 Bohr magnetons per cell. Number 8: magnetic moment 0.00 Bohr magnetons per cell. Number 9: magnetic moment 0.00 Bohr magnetons per cell. Number 10: magnetic moment 0.00 Bohr magnetons per cell.